## LiMg2Cd (GGA-PBE)

Data for an optimized crystal structure of LiMg2Cd.

a b c (Å): 4.716 8.166 8.889
angles (deg): 90.00 90.00 90.00
Space group Cmcm (No. 63)
One atom of each set of equivalent atoms:
1 Li 0.000 0.166 0.250 [4 per cell]
2 Mg 0.000 0.167 0.582 [8 per cell]
3 Cd 0.000 0.499 0.250 [4 per cell]

## Properties
Raw total energy, eV/atom: -1.5128

## AlNi6Sb (GGA-PBE)

Data for an optimized crystal structure of AlNi6Sb.

a b c (Å): 3.646 3.646 7.247
angles (deg): 90.00 90.00 90.00
Space group P4/mmm (No. 123)
One atom of each set of equivalent atoms:
1 Al 0.000 0.000 0.000 [1 per cell]
2 Ni 0.000 0.500 0.239 [4 per cell]
3 Ni 0.500 0.500 0.000 [1 per cell]
4 Ni 0.500 0.500 0.500 [1 per cell]
5 Sb 0.000 0.000 0.500 [1 per cell]

## Properties
Raw total energy, eV/atom: -5.4747
Size of the total moment, μB/f.u.: 0.116

## NaLaCoAs (GGA-PBE)

Data for an optimized crystal structure of NaLaCoAs.

a b c (Å): 7.097 7.097 7.097
angles (deg): 90.00 90.00 90.00
Space group F-43m (No. 216)
One atom of each set of equivalent atoms:
1 Na 0.000 0.000 0.000 [4 per cell]
2 La 0.000 0.000 0.500 [4 per cell]
3 Co 0.250 0.250 0.750 [4 per cell]
4 As 0.250 0.250 0.250 [4 per cell]

## Properties
Raw total energy, eV/atom: -4.6368
Size of the total moment, μB/f.u.: 1.661

## LiHg3WSe4 (GGA-PBE)

Data for an optimized crystal structure of LiHg3WSe4.

a b c (Å): 6.287 6.287 6.287
angles (deg): 90.00 90.00 90.00
Space group P-43m (No. 215)
One atom of each set of equivalent atoms:
1 Li 0.000 0.000 0.000 [1 per cell]
2 Hg 0.000 0.500 0.500 [3 per cell]
3 W 0.500 0.500 0.500 [1 per cell]
4 Se 0.245 0.245 0.245 [4 per cell]

## Properties
Raw total energy, eV/atom: -3.0901
Size of the total moment, μB/f.u.: 4.614